Record 1
The following is a GGA-PBE calculation of a relaxed structure of K2HfAlS5, from Alexandria.

Unit cell a=9.656 b=9.656 c=13.919 alpha=90.00 beta=90.00 gamma=158.19
Positions (direct):
K  0.121  0.879  0.500
K  0.133  0.867  0.134
K  0.867  0.133  0.634
K  0.879  0.121  0.000
Hf  0.210  0.790  0.844
Hf  0.790  0.210  0.344
Al  0.430  0.570  0.250
Al  0.570  0.430  0.750
S  0.062  0.938  0.848
S  0.295  0.705  0.466
S  0.311  0.689  0.212
S  0.336  0.664  0.821
S  0.493  0.507  0.116
S  0.507  0.493  0.616
S  0.664  0.336  0.321
S  0.689  0.311  0.712
S  0.705  0.295  0.966
S  0.938  0.062  0.348

Formation energy (no corrections), eV/atom: -1.227
Mass density, g cm⁻³: 3.1

---

Record 2
The following is a GGA-PBE calculation of a relaxed structure of Ho3SbSe2, from Alexandria.

Unit cell a=7.205 b=7.205 c=7.205 alpha=146.36 beta=131.60 gamma=60.24
Positions (direct):
Ho  0.000  0.000  0.000
Ho  0.325  0.325  0.000
Ho  0.675  0.675  0.000
Sb  0.500  0.000  0.500
Se  0.164  0.664  0.500
Se  0.836  0.336  0.500

Formation energy (no corrections), eV/atom: -1.523
Mass density, g cm⁻³: 8.4
Relative energy among the computed polymorphs, kJ per mole of atoms: 0.0